Computed, not measured: a geometry-optimized RbBe3Cu structure at the PBE level of DFT. Values from VASP.

Geometry as Quantum ESPRESSO input:
```
&SYSTEM
  ibrav = 0, nat = 5, ntyp = 3
/
ATOMIC_SPECIES
Be 9.01 Be.upf
Cu 63.55 Cu.upf
Rb 85.47 Rb.upf
ATOMIC_POSITIONS angstrom
Be 0.690 -2.580 -1.589
Be 3.026 0.506 0.493
Be -0.150 -1.657 2.624
Cu 3.565 -3.730 1.528
Rb 0.000 0.000 0.000
CELL_PARAMETERS angstrom
-0.301 -3.313 5.249
1.380 -5.159 -3.178
6.052 1.012 0.986
```

Formation enthalpy at 0 K   2.590 eV/atom
Magnetic moment   0.0 μB/cell
E_tot   -0.6581 eV/atom
Crystal system   cubic
Energy above the most stable polymorph in this dataset   1816 meV/atom